Entry 1:
{"formula": "Cs2InAsCl6", "functional": "PBE-GGA", "state": "optimized geometry", "formation_energy_uncorrected_ev_per_atom": -1.29, "lattice": [[-3.625, -3.923, -5.664], [6.232, 0.863, -4.586], [3.380, -6.243, -3.190]], "species": ["Cl", "Cl", "Cs", "Cl", "Cl", "Cl", "Cs", "In", "Cl", "As"], "frac_coords": [[0.730, 0.270, 0.000], [0.270, 0.270, 0.000], [0.750, 0.250, 0.500], [0.730, 0.730, 0.539], [0.730, 0.730, 0.000], [0.270, 0.730, 0.000], [0.250, 0.750, 0.500], [0.000, 0.000, 0.000], [0.270, 0.270, 0.461], [0.500, 0.500, 0.000]]}

***

Entry 2:
{"formula": "NaBMoC2", "functional": "PBE-GGA", "state": "optimized geometry", "total_energy_ev_per_cell": -25.7, "lattice": [[4.004, 0.000, 0.000], [0.000, 5.877, 0.000], [0.000, 0.000, 4.004]], "species": ["C", "Na", "Mo", "C", "B"], "frac_coords": [[0.000, 0.000, 0.500], [0.000, 0.500, 0.000], [0.000, 0.000, 0.000], [0.500, 0.000, 0.000], [0.500, 0.500, 0.500]]}

***

Spin magnetization / μB/f.u.: 0.00, 0.10